Ru3C5 | the Alexandria database | PBE | relaxed; volume = 10.4 A^3/atom
1.0
3.147 -5.393 0.000
3.147 5.393 0.000
-1.869 0.000 4.920
Ru C
6 10
Cartesian
0.000 0.000 0.000
1.254 1.331 3.481
2.708 2.242 1.246
1.254 -1.331 3.481
2.708 -2.242 1.246
4.404 0.000 2.341
0.856 3.353 2.973
0.917 3.282 4.343
-0.321 0.000 3.586
1.393 0.700 1.473
1.393 -0.700 1.473
3.611 0.694 0.477
0.856 -3.353 2.973
2.811 0.000 3.577
3.611 -0.694 0.477
0.917 -3.282 4.343


Ru2C | the Alexandria database | PBE | relaxed; volume = 11.5 A^3/atom
1.0
5.506 0.000 0.000
-2.753 4.768 0.000
0.000 0.000 3.941
Ru C
6 3
Cartesian
-0.797 1.380 0.000
-1.735 3.004 1.970
1.593 0.000 0.000
1.018 1.764 1.970
3.469 0.000 1.970
1.956 3.388 0.000
0.000 0.000 1.970
0.000 3.179 0.000
2.753 1.589 0.000


RuC5 | the Alexandria database | PBE | relaxed; volume = 8.3 A^3/atom
1.0
0.000 2.924 2.924
2.924 0.000 2.924
2.924 2.924 0.000
Ru C
1 5
Cartesian
0.000 0.000 0.000
2.375 2.375 2.375
3.473 3.473 2.375
3.473 2.375 3.473
4.386 4.386 4.386
2.375 3.473 3.473


Ru3C5 | the Alexandria database | PBE | relaxed; volume = 9.3 A^3/atom
1.0
2.830 -3.107 0.000
2.830 3.107 0.000
0.000 0.000 4.251
Ru C
3 5
Cartesian
0.000 0.000 0.000
2.830 1.358 2.125
2.830 -1.358 2.125
1.415 1.554 0.000
1.122 0.000 2.125
1.415 -1.554 0.000
2.830 0.000 0.000
4.539 0.000 2.125


Ru3C5 | the Alexandria database | PBE | relaxed; volume = 10.0 A^3/atom
1.0
5.713 0.000 0.000
-2.857 4.948 0.000
0.000 0.000 5.683
Ru C
6 10
Cartesian
-1.378 2.386 1.421
-1.479 2.561 4.262
2.756 0.000 1.421
1.378 2.386 4.262
2.957 0.000 4.262
1.479 2.561 1.421
-0.407 0.705 1.421
-2.450 4.243 4.262
0.814 0.000 1.421
0.407 0.705 4.262
0.000 3.298 0.000
0.000 3.298 2.841
2.857 1.649 0.000
2.857 1.649 2.841
4.899 0.000 4.262
2.450 4.243 1.421


Ru4C3 | the Alexandria database | PBE | relaxed; volume = 10.5 A^3/atom
1.0
-1.375 1.375 9.726
1.375 -1.375 9.726
1.375 1.375 -9.726
Ru C
4 3
Cartesian
0.000 0.000 1.247
0.000 0.000 6.323
0.000 0.000 13.130
0.000 0.000 18.206
0.000 0.000 4.176
0.000 0.000 9.726
0.000 0.000 15.277


Ru3C | the Alexandria database | PBE | relaxed; volume = 12.5 A^3/atom
1.0
0.000 2.928 2.928
2.928 0.000 2.928
2.928 2.928 0.000
Ru C
3 1
Cartesian
0.000 0.000 0.000
1.464 1.464 1.464
4.391 4.391 4.391
2.928 2.928 2.928


Ru3C | the Alexandria database | PBE | relaxed; volume = 11.9 A^3/atom
1.0
-1.362 2.188 4.003
1.362 -2.188 4.003
1.362 2.188 -4.003
Ru C
3 1
Cartesian
0.000 0.000 0.000
1.362 0.000 2.409
0.000 2.188 1.595
0.000 0.000 4.003


In kJ/mol of formula units, the calculated formation energy values for the records above are, in order, 837.9; 139.8; 1792.7; 1428.8; 717.6; 578.7; 504.8; 194.3.
In meV per atom, the excess energy over the best structure of this formula in the dataset values for the records above are, in order, 156; 173; 2238; 921; 0; 175; 982; 177.